# 1
Material: SbPdSeN2
Method: DFT, GGA-PBEsol
State: optimized geometry

Cell lengths 3.9183, 3.9183, 5.6080 Å; angles 90.00, 90.00, 90.00 degrees
Last column: nearest neighbours and their distance in Å.
Space group P4/mmm (No. 123)
Inequivalent atoms, fractional coordinates:
1 Sb 0.0000 0.0000 0.0000 (multiplicity 1)  4 N 1.96
2 Pd 0.5000 0.5000 0.5000 (multiplicity 1)  4 Se 2.77
3 Se 0.0000 0.0000 0.5000 (multiplicity 1)  4 Pd 2.77, 2 Sb 2.80
4 N 0.0000 0.5000 0.0000 (multiplicity 2)  2 Sb 1.96

Density of states at the Fermi level ... 5.4 states/eV/f.u.
Raw formation energy ... 1.2972 eV per atom
E ... -4.987 eV per atom

=====

# 2
Material: YSbPd2N
Method: DFT, GGA-PBEsol
State: optimized geometry

Cell lengths 4.2213, 4.2213, 4.7828 Å; angles 90.00, 90.00, 90.00 degrees
Last column: nearest neighbours and their distance in Å.
Space group P4/mmm (No. 123)
Inequivalent atoms, fractional coordinates:
1 Y 0.0000 0.0000 0.0000 (multiplicity 1)  4 Sb 2.98, 8 Pd 3.19
2 Sb 0.5000 0.5000 0.0000 (multiplicity 1)  2 N 2.39
3 Pd 0.0000 0.5000 0.5000 (multiplicity 2)  2 N 2.11
4 N 0.5000 0.5000 0.5000 (multiplicity 1)  4 Pd 2.11

Density of states at the Fermi level ... 3.4 states/eV/f.u.
Raw formation energy ... -0.1916 eV per atom
E ... -6.556 eV per atom

=====

> E of number 1 (SbPdSeN2)?

-4.987 eV per atom

=====

Repeat the first record exactly.
Material: SbPdSeN2
Method: DFT, GGA-PBEsol
State: optimized geometry

Cell lengths 3.9183, 3.9183, 5.6080 Å; angles 90.00, 90.00, 90.00 degrees
Last column: nearest neighbours and their distance in Å.
Space group P4/mmm (No. 123)
Inequivalent atoms, fractional coordinates:
1 Sb 0.0000 0.0000 0.0000 (multiplicity 1)  4 N 1.96
2 Pd 0.5000 0.5000 0.5000 (multiplicity 1)  4 Se 2.77
3 Se 0.0000 0.0000 0.5000 (multiplicity 1)  4 Pd 2.77, 2 Sb 2.80
4 N 0.0000 0.5000 0.0000 (multiplicity 2)  2 Sb 1.96

Density of states at the Fermi level ... 5.4 states/eV/f.u.
Raw formation energy ... 1.2972 eV per atom
E ... -4.987 eV per atom

=====

> Which value of density of states at the Fermi level does entry 2 give?

3.4 states/eV/f.u.

=====

> Which of these has the lowest E?

YSbPd2N